VASP calculation (GGA-PBE) on an optimized crystal structure of KPrSnSe3.

Properties
Size of the total moment: 0.000 μB per atom
Energy above the lowest structure with this stoichiometry: 0 meV per atom

Cell lengths 15.526, 4.290, 12.535 Å; angles 90.00, 90.00, 90.00 degrees
Space group Pnma (No. 62)
One atom of each set of equivalent atoms:
K 0.235 0.250 0.099 [4 per cell]
Pr 0.001 0.250 0.351 [4 per cell]
Sn 0.042 0.250 0.912 [4 per cell]
Se 0.093 0.750 0.223 [4 per cell]
Se 0.104 0.250 0.549 [4 per cell]
Se 0.134 0.750 0.826 [4 per cell]